Density functional theory data (GGA-PBEsol) for crystalline Ca2Fe at its relaxed geometry.

## Properties
The density of states at the Fermi level comes out at 5.30 states/eV/f.u. The value obtained for the total energy is -11.26 eV for the cell shown. Its formation energy is 657 meV/atom.

The structure in POSCAR format:
```
Ca2Fe
1.0
3.5878 0.0000 0.0000
-1.7939 3.1071 0.0000
0.0000 0.0000 7.4464
Ca Fe
2 1
direct
0.3333 0.6667 0.2705 Ca
0.6667 0.3333 0.7295 Ca
0.0000 0.0000 0.0000 Fe
```

Density functional theory data (GGA-PBEsol) for crystalline Ca2FeH2 at its relaxed geometry.

## Properties
The density of states at the Fermi level comes out at 4.26 states/eV/f.u. The value obtained for the total energy is -19.39 eV for the cell shown.

The structure in POSCAR format:
```
Ca2FeH2
1.0
-1.7828 1.7828 6.5407
1.7828 -1.7828 6.5407
1.7828 1.7828 -6.5407
Ca Fe H
2 1 2
direct
0.1485 0.1485 0.0000 Ca
0.8515 0.8515 0.0000 Ca
0.5000 0.5000 0.0000 Fe
0.2500 0.7500 0.5000 H
0.7500 0.2500 0.5000 H
```

Density functional theory data (GGA-PBEsol) for crystalline RbCa2FeH at its relaxed geometry.

## Properties
The density of states at the Fermi level comes out at 5.41 states/eV/f.u. The value obtained for the total energy is -13.03 eV for the cell shown.

The structure in POSCAR format:
```
RbCa2FeH
1.0
5.2714 0.0000 0.0000
0.0000 5.2714 0.0000
0.0000 0.0000 6.1958
Rb Ca Fe H
1 2 1 1
direct
0.0000 0.0000 0.0000 Rb
0.0000 0.5000 0.5000 Ca
0.5000 0.0000 0.5000 Ca
0.0000 0.0000 0.5000 Fe
0.5000 0.5000 0.0000 H
```

Density functional theory data (GGA-PBEsol) for crystalline CaScFeH2 at its relaxed geometry.

## Properties
The density of states at the Fermi level comes out at 4.25 states/eV/f.u. The value obtained for the total energy is -20.43 eV for the cell shown.

The structure in POSCAR format:
```
CaScFeH2
1.0
3.8460 0.0000 0.0000
0.0000 3.8460 0.0000
0.0000 0.0000 7.2071
Ca Sc Fe H
1 1 1 2
direct
0.0000 0.0000 0.0000 Ca
0.0000 0.0000 0.5000 Sc
0.5000 0.5000 0.5000 Fe
0.0000 0.5000 0.0000 H
0.5000 0.0000 0.0000 H
```

Density functional theory data (GGA-PBEsol) for crystalline Ca3HfFe at its relaxed geometry.

## Properties
The density of states at the Fermi level comes out at 6.84 states/eV/f.u. The value obtained for the total energy is -17.75 eV for the cell shown. Its formation energy is 1624 meV/atom.

The structure in POSCAR format:
```
Ca3HfFe
1.0
5.5910 0.0000 0.0000
0.0000 5.5910 0.0000
0.0000 0.0000 5.5910
Ca Hf Fe
3 1 1
direct
0.0000 0.0000 0.5000 Ca
0.0000 0.5000 0.0000 Ca
0.5000 0.0000 0.0000 Ca
0.0000 0.0000 0.0000 Hf
0.5000 0.5000 0.5000 Fe
```

Density functional theory data (GGA-PBEsol) for crystalline Ca2HfScFe at its relaxed geometry.

## Properties
The density of states at the Fermi level comes out at 6.74 states/eV/f.u. The value obtained for the total energy is -22.73 eV for the cell shown. Its formation energy is 1521 meV/atom.

The structure in POSCAR format:
```
Ca2HfScFe
1.0
5.3318 0.0000 0.0000
0.0000 5.3318 0.0000
0.0000 0.0000 4.9785
Ca Hf Sc Fe
2 1 1 1
direct
0.0000 0.5000 0.0000 Ca
0.5000 0.0000 0.0000 Ca
0.0000 0.0000 0.5000 Hf
0.0000 0.0000 0.0000 Sc
0.5000 0.5000 0.5000 Fe
```